Computed, not measured: a relaxed LaScPt crystal at the PBE level of DFT.

Geometry as CIF:
```
data_LaScPt
_chemical_formula_sum 'La1 Sc1 Pt1'
_symmetry_space_group_name_H-M 'P 1'
_symmetry_Int_Tables_number 1
_symmetry_space_group_name_Hall 'P 1'
_cell_length_a 6.6276
_cell_length_b 6.6276
_cell_length_c 6.6276
_cell_angle_alpha 149.50
_cell_angle_beta 149.50
_cell_angle_gamma 43.68
loop_
_atom_site_label
_atom_site_type_symbol
_atom_site_fract_x
_atom_site_fract_y
_atom_site_fract_z
_atom_site_occupancy
La1 La 0.0000 0.0000 0.0000 1
Sc1 Sc 0.2707 0.2707 0.0000 1
Pt1 Pt 0.6689 0.6689 0.0000 1
```

## Properties
Total magnetic moment ... 0.00 μB per formula unit
Polymorph energy (0 for the lowest one) ... 16.7 kJ/mol of atoms
Density ... 8414 kg/m³



Computed, not measured: a relaxed LaSc2Pt crystal at the PBE level of DFT.

Geometry as CIF:
```
data_LaSc2Pt
_chemical_formula_sum 'La1 Sc2 Pt1'
_symmetry_space_group_name_H-M 'P 1'
_symmetry_Int_Tables_number 1
_symmetry_space_group_name_Hall 'P 1'
_cell_length_a 5.6569
_cell_length_b 5.6569
_cell_length_c 3.2776
_cell_angle_alpha 100.62
_cell_angle_beta 100.62
_cell_angle_gamma 114.21
loop_
_atom_site_label
_atom_site_type_symbol
_atom_site_fract_x
_atom_site_fract_y
_atom_site_fract_z
_atom_site_occupancy
La1 La 0.0000 0.0000 0.0000 1
Sc1 Sc 0.0000 0.5000 0.5000 1
Sc2 Sc 0.5000 0.0000 0.5000 1
Pt1 Pt 0.5000 0.5000 0.0000 1
```

## Properties
Total magnetic moment ... 0.00 μB per formula unit
Density ... 7822 kg/m³



Computed, not measured: a relaxed LaSc2Pt crystal at the PBE level of DFT.

Geometry as CIF:
```
data_LaSc2Pt
_chemical_formula_sum 'La1 Sc2 Pt1'
_symmetry_space_group_name_H-M 'P 1'
_symmetry_Int_Tables_number 1
_symmetry_space_group_name_Hall 'P 1'
_cell_length_a 10.4733
_cell_length_b 10.4733
_cell_length_c 10.4733
_cell_angle_alpha 18.98
_cell_angle_beta 18.98
_cell_angle_gamma 18.98
loop_
_atom_site_label
_atom_site_type_symbol
_atom_site_fract_x
_atom_site_fract_y
_atom_site_fract_z
_atom_site_occupancy
La1 La 0.0000 0.0000 0.0000 1
Sc1 Sc 0.1086 0.1086 0.1086 1
Sc2 Sc 0.8914 0.8914 0.8914 1
Pt1 Pt 0.5000 0.5000 0.5000 1
```

## Properties
Total magnetic moment ... 0.00 μB per formula unit
Density ... 6627 kg/m³



Table of energy relative to the elements (kJ/mol of formula units), in record order: -216.8 -90.8 -116.6
Table of energy (eV/atom), in record order: -6.5155 -6.1430 -6.2099